1.
Material: SmThHgAu
Method: DFT, GGA-PBE
State: optimized geometry

Results
**M_tot**: 0.00 μB per formula unit
**Crystal system**: tetragonal
**DFT total energy**: -4.4299 eV per atom
**ΔH_f (0 K)**: -500 meV/atom
**N(E_F)**: 1.023 states/eV/atom
**Energy above the most stable polymorph in this dataset**: 0 meV/atom

abc: 3.7134 3.7134 7.6532
angles: 90.00 90.00 90.00
Space group P4mm (No. 99)
Inequivalent atoms, fractional coordinates:
Sm (0.0000, 0.0000, 0.0000) (multiplicity 1)
Th (0.0000, 0.0000, 0.5230) (multiplicity 1)
Hg (0.5000, 0.5000, 0.2535) (multiplicity 1)
Au (0.5000, 0.5000, 0.7719) (multiplicity 1)

---

2.
Material: K2Ta2CoS6
Method: DFT, GGA-PBE
State: optimized geometry

Results
**M_tot**: 0.96 μB per formula unit
**Crystal system**: monoclinic
**DFT total energy**: -6.1736 eV per atom
**N(E_F)**: 0.298 states/eV/atom
**ΔE_f (raw)**: -0.922 eV/atom

abc: 6.0801 10.4707 7.8286
angles: 90.00 103.58 90.00
Space group C2/m (No. 12)
Inequivalent atoms, fractional coordinates:
K (0.0000, 0.1823, 0.0000) (multiplicity 4)
Ta (0.0000, 0.3593, 0.5000) (multiplicity 4)
Co (0.0000, 0.0000, 0.5000) (multiplicity 2)
S (0.2039, 0.1630, 0.6698) (multiplicity 8)
S (0.2263, 0.5000, 0.7160) (multiplicity 4)

---

3.
Material: NaTaBiSb
Method: DFT, GGA-PBE
State: optimized geometry

Results
**M_tot**: 0.00 μB per formula unit
**Crystal system**: monoclinic
**DFT total energy**: -5.2961 eV per atom
**N(E_F)**: 0.762 states/eV/atom
**ΔE_f (raw)**: -0.002 eV/atom
**Energy above the most stable polymorph in this dataset**: 18 meV/atom

abc: 4.9431 4.9430 8.2406
angles: 90.00 90.16 90.00
Space group Cm (No. 8)
Inequivalent atoms, fractional coordinates:
Na (0.0000, 0.0000, 0.0000) (multiplicity 2)
Ta (0.4975, 0.5000, 0.5453) (multiplicity 2)
Bi (0.4971, 0.0000, 0.3093) (multiplicity 2)
Sb (0.4983, 0.0000, 0.7266) (multiplicity 2)

---

4.
Material: DyY4Er5
Method: DFT, GGA-PBE
State: optimized geometry

Results
**M_tot**: 0.00 μB per formula unit
**Crystal system**: tetragonal
**DFT total energy**: -5.0247 eV per atom
**ΔH_f (0 K)**: 303 meV/atom
**N(E_F)**: 1.456 states/eV/atom
**Energy above the most stable polymorph in this dataset**: 244 meV/atom

abc: 10.1281 10.1281 6.2920
angles: 90.00 90.00 90.00
Space group I4 (No. 79)
Inequivalent atoms, fractional coordinates:
Dy (0.0000, 0.0000, 0.0000) (multiplicity 2)
Y (0.0430, 0.6596, 0.2294) (multiplicity 8)
Er (0.0000, 0.0000, 0.4580) (multiplicity 2)
Er (0.1457, 0.7731, 0.7286) (multiplicity 8)